Here is a geometry-optimized Tb4Ho7Er structure from Alexandria via LeMat-Bulk. Energies are from PBE-GGA.

Calculated values
Magnetic moment in μB/atom: 0.00
Raw total energy in eV/cell: -54.051
SG: No. 2
E_form in kcal/mol of atoms: 2.071

abc: 6.739 6.455 11.628
angles: 75.16 50.43 82.02
Fractional positions:
1 Ho 0.803 0.513 0.948
2 Ho 0.500 0.000 0.000
3 Ho 0.720 0.191 0.387
4 Tb 0.308 0.160 0.309
5 Ho 0.280 0.809 0.613
6 Ho 0.941 0.685 0.359
7 Ho 0.059 0.315 0.641
8 Tb 0.524 0.639 0.284
9 Er 0.000 0.000 0.000
10 Tb 0.692 0.840 0.691
11 Tb 0.476 0.361 0.716
12 Ho 0.197 0.487 0.052